{"formula": "CsRb4Au2", "functional": "PBE", "state": "relaxed", "magmom_total_mub_per_fu": 0.0, "formation_energy_ev_per_atom": -0.16, "density_g_cm3": 3.7, "spacegroup": "P2_1/m", "crystal_system": "monoclinic", "cell": [[-0.211, 6.867, -4.189], [-10.755, 1.292, 2.658], [6.411, 3.919, 6.102]], "species": ["Rb", "Rb", "Rb", "Rb", "Rb", "Rb", "Rb", "Rb", "Au", "Au", "Au", "Au", "Cs", "Cs"], "fractional_positions": [[0.000, 0.419, 0.729], [0.250, 0.989, 0.661], [0.500, 0.419, 0.729], [0.500, 0.581, 0.271], [0.000, 0.581, 0.271], [0.750, 0.011, 0.339], [0.250, 0.264, 0.296], [0.750, 0.736, 0.704], [0.250, 0.625, 0.599], [0.750, 0.375, 0.401], [0.750, 0.670, 0.027], [0.250, 0.330, 0.973], [0.250, 0.803, 0.019], [0.750, 0.197, 0.981]]}